## Sc2PtPb (PBE-GGA)

Data for an optimized crystal structure of Sc2PtPb.

Cell: 6.263 6.263 6.263 Å, 148.30 136.75 54.61°
Fractional positions:
Sc (0.000, 0.000, 0.000)
Sc (0.709, 0.209, 0.500)
Pt (0.520, 0.520, 0.000)
Pb (0.292, 0.792, 0.500)

- D(E_F) (states/eV/cell) = 3.08
- energy (eV for the cell shown) = -25.17
- volume (Å³ per cell) = 87.9
- energy of formation (kJ/mol of formula units) = -267

---

## MnCdBr2 (PBE-GGA)

Data for an optimized crystal structure of MnCdBr2.

Cell: 6.619 6.619 7.646 Å, 124.49 124.49 31.11°
Fractional positions:
Mn (0.000, 0.000, 0.000)
Cd (0.738, 0.738, 0.278)
Br (0.404, 0.404, 0.122)
Br (0.463, 0.463, 0.713)

- E_form (uncorrected) (eV per atom) = -0.356
- D(E_F) (states/eV/cell) = 0.14
- energy (eV for the cell shown) = -14.86
- volume (Å³ per cell) = 140.0
- ΔE to the lowest computed polymorph (meV/atom) = 97

---

## LaTl3Se (PBE-GGA)

Data for an optimized crystal structure of LaTl3Se.

Cell: 6.169 6.169 6.169 Å, 90.00 90.00 90.00°
Fractional positions:
La (0.000, 0.000, 0.000)
Tl (0.000, 0.000, 0.500)
Tl (0.000, 0.500, 0.000)
Tl (0.500, 0.000, 0.000)
Se (0.500, 0.500, 0.500)

- E_form (uncorrected) (eV per atom) = 0.607
- D(E_F) (states/eV/cell) = 3.43
- energy (eV for the cell shown) = -12.48
- volume (Å³ per cell) = 234.7
- ΔE to the lowest computed polymorph (meV/atom) = 424

---

## HoIn4Pb (PBE-GGA)

Data for an optimized crystal structure of HoIn4Pb.

Cell: 6.109 6.109 6.109 Å, 60.00 60.00 60.00°
Fractional positions:
Ho (0.000, 0.000, 0.000)
In (0.124, 0.625, 0.625)
In (0.625, 0.124, 0.625)
In (0.625, 0.625, 0.124)
In (0.625, 0.625, 0.625)
Pb (0.250, 0.250, 0.250)

- D(E_F) (states/eV/cell) = 2.90
- energy (eV for the cell shown) = -19.68
- volume (Å³ per cell) = 161.2
- energy of formation (kJ/mol of formula units) = -42

---

## La2YSnRh (PBE-GGA)

Data for an optimized crystal structure of La2YSnRh.

Cell: 5.415 5.415 5.476 Å, 90.00 90.00 90.00°
Fractional positions:
La (0.000, 0.500, 0.000)
La (0.500, 0.000, 0.000)
Y (0.000, 0.000, 0.500)
Sn (0.500, 0.500, 0.500)
Rh (0.000, 0.000, 0.000)

- D(E_F) (states/eV/cell) = 3.76
- energy (eV for the cell shown) = -30.38
- volume (Å³ per cell) = 160.6
- energy of formation (kJ/mol of formula units) = -262

---

## PdRhS2N (PBE-GGA)

Data for an optimized crystal structure of PdRhS2N.

Cell: 4.840 4.840 3.595 Å, 90.00 90.00 90.00°
Fractional positions:
Pd (0.000, 0.000, 0.000)
Rh (0.500, 0.500, 0.500)
S (0.000, 0.500, 0.500)
S (0.500, 0.000, 0.500)
N (0.500, 0.500, 0.000)

- E_form (uncorrected) (eV per atom) = 0.708
- D(E_F) (states/eV/cell) = 4.81
- energy (eV for the cell shown) = -25.59
- volume (Å³ per cell) = 84.2
- ΔE to the lowest computed polymorph (meV/atom) = 0

---

## SrZrBe2 (PBE-GGA)

Data for an optimized crystal structure of SrZrBe2.

Cell: 5.589 5.589 5.589 Å, 137.41 137.41 61.81°
Fractional positions:
Sr (0.000, 0.000, 0.000)
Zr (0.250, 0.750, 0.500)
Be (0.500, 0.500, 0.000)
Be (0.750, 0.250, 0.500)

- D(E_F) (states/eV/cell) = 2.75
- energy (eV for the cell shown) = -14.59
- volume (Å³ per cell) = 79.0
- energy of formation (kJ/mol of formula units) = 298
- ΔE to the lowest computed polymorph (meV/atom) = 535

---

## YTlZn2 (PBE-GGA)

Data for an optimized crystal structure of YTlZn2.

Cell: 9.194 9.194 9.194 Å, 22.43 22.43 22.43°
Fractional positions:
Y (0.000, 0.000, 0.000)
Tl (0.500, 0.500, 0.500)
Zn (0.250, 0.250, 0.250)
Zn (0.750, 0.750, 0.750)

- D(E_F) (states/eV/cell) = 3.24
- energy (eV for the cell shown) = -11.23
- volume (Å³ per cell) = 99.2
- energy of formation (kJ/mol of formula units) = 14
- ΔE to the lowest computed polymorph (meV/atom) = 256

---

> Look up the energy of the eighth one.

-11.23 eV for the cell shown

---

Please write out number 3 again, unchanged.
## LaTl3Se (PBE-GGA)

Data for an optimized crystal structure of LaTl3Se.

Cell: 6.169 6.169 6.169 Å, 90.00 90.00 90.00°
Fractional positions:
La (0.000, 0.000, 0.000)
Tl (0.000, 0.000, 0.500)
Tl (0.000, 0.500, 0.000)
Tl (0.500, 0.000, 0.000)
Se (0.500, 0.500, 0.500)

- E_form (uncorrected) (eV per atom) = 0.607
- D(E_F) (states/eV/cell) = 3.43
- energy (eV for the cell shown) = -12.48
- volume (Å³ per cell) = 234.7
- ΔE to the lowest computed polymorph (meV/atom) = 424

---

Repeat the seventh record exactly.
## SrZrBe2 (PBE-GGA)

Data for an optimized crystal structure of SrZrBe2.

Cell: 5.589 5.589 5.589 Å, 137.41 137.41 61.81°
Fractional positions:
Sr (0.000, 0.000, 0.000)
Zr (0.250, 0.750, 0.500)
Be (0.500, 0.500, 0.000)
Be (0.750, 0.250, 0.500)

- D(E_F) (states/eV/cell) = 2.75
- energy (eV for the cell shown) = -14.59
- volume (Å³ per cell) = 79.0
- energy of formation (kJ/mol of formula units) = 298
- ΔE to the lowest computed polymorph (meV/atom) = 535

---

> Which formula does entry 2 have?

MnCdBr2